K3Sm2MoO6 after structural relaxation, computed with PBE with a Hubbard U.

a = 6.043 Å, b = 6.043 Å, c = 6.561 Å
α = 98.79°, β = 98.79°, γ = 119.99°
Site moments in Bohr magnetons follow the coordinates.
Fractional coordinates of all 12 atoms:
K  0.162  0.838  0.500  0.00
K  0.838  0.162  0.500  0.00
K  0.500  0.500  0.500  0.00
Sm  0.333  0.667  0.000  0.00
Sm  0.667  0.333  0.000  0.00
Mo  0.000  0.000  0.000  2.70
O  0.937  0.619  0.812  0.02
O  0.743  0.743  0.187  0.02
O  0.063  0.381  0.188  0.02
O  0.619  0.937  0.812  0.02
O  0.257  0.257  0.813  0.02
O  0.381  0.063  0.188  0.02

Properties
total DFT energy (no corrections): -77.2 eV per cell
space group: No. 12
total magnetization: 3.0 Bohr magnetons per cell
DOS at the Fermi energy: 0.000 states/eV per atom